VCoO | GGA+U | relaxed

Cell: 9.5986 2.8197 5.5292 Å, 90.00 95.67 90.00°
Space group Cm (No. 8)
Asymmetric unit:
V1 0.0000 0.0000 0.0000 x2
V2 0.2045 0.0000 0.6604 x2
Co1 0.2728 0.5000 0.2481 x2
Co2 0.4796 0.0000 0.3898 x2
O1 0.0537 0.5000 0.7477 x2
O2 0.3090 0.5000 0.8599 x2

Density of states at the Fermi level, states/eV/f.u.: 1.1
Total magnetic moment, μB/f.u.: 3.75
E above lowest polymorph, meV per atom: 170

YCr2O4 | GGA+U | relaxed

Cell: 5.7733 5.7733 10.0064 Å, 90.00 90.00 90.00°
Space group I4_1/a (No. 88, origin choice 2)
Asymmetric unit:
Y1 0.0000 0.2500 0.1250 x4
Cr1 0.0000 0.0000 0.5000 x8
O1 0.1411 0.0500 0.3197 x16

Density of states at the Fermi level, states/eV/f.u.: 2.0
Total magnetic moment, μB/f.u.: 7.00
E above lowest polymorph, meV per atom: 35